Record 1
VASP calculation (PBE) on a relaxed La2YCo crystal.

Results
The calculation puts the formation energy at -0.3 eV per formula unit.

CIF file:
```
data_La2YCo
_space_group_name_H-M_alt 'P 1'
_space_group_IT_number 1
_space_group_name_Hall 'P 1'
_cell_length_a 3.770
_cell_length_b 11.931
_cell_length_c 10.129
_cell_angle_alpha 90.00
_cell_angle_beta 90.00
_cell_angle_gamma 90.00
loop_
_atom_site_label
_atom_site_type_symbol
_atom_site_fract_x
_atom_site_fract_y
_atom_site_fract_z
La1 La 0.000 0.138 0.075
La2 La 0.000 0.138 0.425
La3 La 0.000 0.862 0.575
La4 La 0.000 0.862 0.925
La5 La 0.500 0.362 0.575
La6 La 0.500 0.362 0.925
La7 La 0.500 0.638 0.075
La8 La 0.500 0.638 0.425
Y1 Y 0.000 0.406 0.250
Y2 Y 0.000 0.594 0.750
Y3 Y 0.500 0.094 0.750
Y4 Y 0.500 0.906 0.250
Co1 Co 0.000 0.280 0.750
Co2 Co 0.000 0.720 0.250
Co3 Co 0.500 0.220 0.250
Co4 Co 0.500 0.780 0.750
```

=====

Record 2
VASP calculation (PBE) on a relaxed LaTa5 crystal.

Results
The calculation puts the formation energy at 3.3 eV per formula unit.

CIF file:
```
data_LaTa5
_space_group_name_H-M_alt 'P 1'
_space_group_IT_number 1
_space_group_name_Hall 'P 1'
_cell_length_a 6.092
_cell_length_b 6.092
_cell_length_c 6.092
_cell_angle_alpha 49.86
_cell_angle_beta 49.86
_cell_angle_gamma 49.86
loop_
_atom_site_label
_atom_site_type_symbol
_atom_site_fract_x
_atom_site_fract_y
_atom_site_fract_z
La1 La 0.000 0.000 0.000
Ta1 Ta 0.178 0.500 0.822
Ta2 Ta 0.340 0.340 0.340
Ta3 Ta 0.500 0.822 0.178
Ta4 Ta 0.660 0.660 0.660
Ta5 Ta 0.822 0.178 0.500
```

=====

Record 3
VASP calculation (PBE) on a relaxed NdEr3In crystal.

Results
The calculation puts the formation energy at -0.9 eV per formula unit.

CIF file:
```
data_NdEr3In
_space_group_name_H-M_alt 'P 1'
_space_group_IT_number 1
_space_group_name_Hall 'P 1'
_cell_length_a 12.812
_cell_length_b 12.812
_cell_length_c 4.827
_cell_angle_alpha 90.00
_cell_angle_beta 90.00
_cell_angle_gamma 158.19
loop_
_atom_site_label
_atom_site_type_symbol
_atom_site_fract_x
_atom_site_fract_y
_atom_site_fract_z
Nd1 Nd 0.148 0.852 0.750
Nd2 Nd 0.852 0.148 0.250
Er1 Er 0.047 0.953 0.250
Er2 Er 0.250 0.750 0.250
Er3 Er 0.449 0.551 0.250
Er4 Er 0.551 0.449 0.750
Er5 Er 0.750 0.250 0.750
Er6 Er 0.953 0.047 0.750
In1 In 0.346 0.654 0.750
In2 In 0.654 0.346 0.250
```

=====

Record 4
VASP calculation (PBE) on a relaxed FeBP3 crystal.

Results
The calculation puts the formation energy at 5.1 eV per formula unit.

CIF file:
```
data_FeBP3
_space_group_name_H-M_alt 'P 1'
_space_group_IT_number 1
_space_group_name_Hall 'P 1'
_cell_length_a 3.972
_cell_length_b 3.972
_cell_length_c 3.972
_cell_angle_alpha 90.00
_cell_angle_beta 90.00
_cell_angle_gamma 90.00
loop_
_atom_site_label
_atom_site_type_symbol
_atom_site_fract_x
_atom_site_fract_y
_atom_site_fract_z
Fe1 Fe 0.000 0.000 0.000
B1 B 0.500 0.500 0.500
P1 P 0.000 0.500 0.500
P2 P 0.500 0.000 0.500
P3 P 0.500 0.500 0.000
```

=====

Record 5
VASP calculation (PBE) on a relaxed Pr3Al3Au2 crystal.

Results
The calculation puts the formation energy at -5.0 eV per formula unit.

CIF file:
```
data_Pr3Al3Au2
_space_group_name_H-M_alt 'P 1'
_space_group_IT_number 1
_space_group_name_Hall 'P 1'
_cell_length_a 5.922
_cell_length_b 5.922
_cell_length_c 15.378
_cell_angle_alpha 90.00
_cell_angle_beta 90.00
_cell_angle_gamma 134.14
loop_
_atom_site_label
_atom_site_type_symbol
_atom_site_fract_x
_atom_site_fract_y
_atom_site_fract_z
Pr1 Pr 0.094 0.906 0.611
Pr2 Pr 0.094 0.906 0.889
Pr3 Pr 0.377 0.623 0.750
Pr4 Pr 0.623 0.377 0.250
Pr5 Pr 0.906 0.094 0.111
Pr6 Pr 0.906 0.094 0.389
Al1 Al 0.330 0.670 0.250
Al2 Al 0.383 0.617 0.535
Al3 Al 0.383 0.617 0.965
Al4 Al 0.617 0.383 0.035
Al5 Al 0.617 0.383 0.465
Al6 Al 0.670 0.330 0.750
Au1 Au 0.199 0.801 0.101
Au2 Au 0.199 0.801 0.399
Au3 Au 0.801 0.199 0.601
Au4 Au 0.801 0.199 0.899
```

=====

Record 6
VASP calculation (PBE) on a relaxed La5SnSe4 crystal.

Results
The formation energy from raw total energies is -1.761 eV per atom.

CIF file:
```
data_La5SnSe4
_space_group_name_H-M_alt 'P 1'
_space_group_IT_number 1
_space_group_name_Hall 'P 1'
_cell_length_a 7.604
_cell_length_b 7.604
_cell_length_c 7.604
_cell_angle_alpha 99.59
_cell_angle_beta 99.59
_cell_angle_gamma 131.82
loop_
_atom_site_label
_atom_site_type_symbol
_atom_site_fract_x
_atom_site_fract_y
_atom_site_fract_z
La1 La 0.000 0.000 0.000
La2 La 0.194 0.602 0.796
La3 La 0.398 0.194 0.592
La4 La 0.602 0.806 0.408
La5 La 0.806 0.398 0.204
Sn1 Sn 0.500 0.500 0.000
Se1 Se 0.103 0.300 0.403
Se2 Se 0.300 0.897 0.197
Se3 Se 0.700 0.103 0.803
Se4 Se 0.897 0.700 0.597
```